Density functional theory data (GGA-PBE) for a relaxed SrTi2Au2 crystal.

## Properties
**Formation energy from the elements**: -0.26 eV/atom
**Energy above the lowest structure with this stoichiometry**: 0 meV/atom

Unit cell a=4.212 b=4.212 c=7.149 alpha=72.87 beta=72.87 gamma=90.00
Atoms (fractional coordinates):
Au  0.388  0.388  0.223
Au  0.612  0.612  0.777
Ti  0.750  0.250  0.500
Ti  0.250  0.750  0.500
Sr  0.000  0.000  0.000